Entry 1:
This record from Alexandria via LeMat-Bulk describes an optimized crystal structure of Cs2Ba2O3. The functional is GGA-PBEsol.

**Crystal system**: monoclinic
**Space-group type**: P2_1/c, No. 14
**E_form (uncorrected)**: -1.82 eV/atom

Cell lengths 6.880, 7.388, 8.279 Å; angles 117.61, 90.00, 90.00 degrees
Fractional positions:
1 Ba 0.684 0.139 0.929
2 Ba 0.316 0.861 0.071
3 Ba 0.816 0.639 0.929
4 Ba 0.184 0.361 0.071
5 O 0.999 0.691 0.224
6 O 0.001 0.309 0.776
7 O 0.500 0.500 0.000
8 O 0.501 0.191 0.224
9 O 0.000 0.000 0.000
10 O 0.499 0.809 0.776
11 Cs 0.361 0.386 0.624
12 Cs 0.861 0.114 0.376
13 Cs 0.139 0.886 0.624
14 Cs 0.639 0.614 0.376

---

Entry 2:
This record from Alexandria via LeMat-Bulk describes an optimized crystal structure of ZnIn3AsSe4. The functional is GGA-PBEsol.

**Crystal system**: triclinic
**Space-group type**: P1, No. 1
**E_form (uncorrected)**: -0.48 eV/atom

Cell lengths 5.776, 7.067, 7.108 Å; angles 80.24, 66.01, 66.10 degrees
Fractional positions:
1 Se 0.892 0.109 0.681
2 Se 0.252 0.464 0.487
3 Se 0.062 0.272 0.127
4 Se 0.623 0.932 0.300
5 In 0.400 0.392 0.805
6 In 0.808 0.802 0.598
7 In 0.614 0.599 0.195
8 Zn 0.979 0.009 0.002
9 As 0.421 0.720 0.905

---

Entry 3:
This record from Alexandria via LeMat-Bulk describes an optimized crystal structure of TlHgPb2. The functional is GGA-PBEsol.

**Crystal system**: cubic
**Space-group type**: F-43m, No. 216
**ΔE_f**: 0.020 eV per formula unit

Cell lengths 5.398, 5.398, 5.398 Å; angles 60.00, 60.00, 60.00 degrees
Fractional positions:
1 Pb 0.000 0.000 0.000
2 Pb 0.750 0.750 0.750
3 Hg 0.500 0.500 0.500
4 Tl 0.250 0.250 0.250

---

Entry 4:
This record from Alexandria via LeMat-Bulk describes an optimized crystal structure of CuBiSb2O. The functional is GGA-PBEsol.

**Crystal system**: tetragonal
**Space-group type**: P4/mmm, No. 123
**E_form (uncorrected)**: 0.79 eV/atom

Cell lengths 4.866, 4.866, 5.239 Å; angles 90.00, 90.00, 90.00 degrees
Last column: magnetic moment on the atom in μB.
Fractional positions:
1 Cu 0.000 0.000 0.000  0.04
2 Bi 0.000 0.000 0.500  0.03
3 Sb 0.500 0.000 0.000  0.09
4 Sb 0.000 0.500 0.000  0.09
5 O 0.500 0.500 0.500  0.89

---

Please write out number 1 again, unchanged.
This record from Alexandria via LeMat-Bulk describes an optimized crystal structure of Cs2Ba2O3. The functional is GGA-PBEsol.

**Crystal system**: monoclinic
**Space-group type**: P2_1/c, No. 14
**E_form (uncorrected)**: -1.82 eV/atom

Cell lengths 6.880, 7.388, 8.279 Å; angles 117.61, 90.00, 90.00 degrees
Fractional positions:
1 Ba 0.684 0.139 0.929
2 Ba 0.316 0.861 0.071
3 Ba 0.816 0.639 0.929
4 Ba 0.184 0.361 0.071
5 O 0.999 0.691 0.224
6 O 0.001 0.309 0.776
7 O 0.500 0.500 0.000
8 O 0.501 0.191 0.224
9 O 0.000 0.000 0.000
10 O 0.499 0.809 0.776
11 Cs 0.361 0.386 0.624
12 Cs 0.861 0.114 0.376
13 Cs 0.139 0.886 0.624
14 Cs 0.639 0.614 0.376

---

Question: Which formula does entry 3 have?
Answer: TlHgPb2